[1]
Be2SbH6 | PBE-GGA | optimized geometry

Summary:
E_tot: -2.44 eV/atom

a b c (Å): 6.824 6.824 6.824
angles (deg): 90.00 90.00 90.00
Space group Fm-3m (No. 225)
Unique sites:
Be1 0.250 0.250 0.250 [8 per cell]
Sb1 0.000 0.000 0.000 [4 per cell]
H1 0.000 0.000 0.283 [24 per cell]

---

[2]
ThTlSn2 | PBE-GGA | optimized geometry

Summary:
E_tot: -4.68 eV/atom
ΔE_f: -233.0 meV/atom
distance to the lowest polymorph of the same formula: 126 meV per atom

a b c (Å): 4.133 4.133 6.659
angles (deg): 90.00 90.00 90.00
Space group P4/mmm (No. 123)
Unique sites:
Th1 0.000 0.000 0.000 [1 per cell]
Tl1 0.000 0.000 0.500 [1 per cell]
Sn1 0.500 0.500 0.254 [2 per cell]

---

[3]
Tb2ErPd | PBE-GGA | optimized geometry

Summary:
E_tot: -5.04 eV/atom
ΔE_f: -284.3 meV/atom
distance to the lowest polymorph of the same formula: 187 meV per atom

a b c (Å): 3.6973 3.6973 28.8014
angles (deg): 90.00 90.00 120.00
Space group R3m (No. 160, hexagonal axes)
Unique sites:
Tb1 0.0000 0.0000 0.0000 [3 per cell]
Tb2 0.0000 0.0000 0.1998 [3 per cell]
Er1 0.0000 0.0000 0.4338 [3 per cell]
Pd1 0.0000 0.0000 0.5999 [3 per cell]